This record from the Open Quantum Materials Database describes an optimized crystal structure of ZrCoBiPd. The functional is PBE.

abc: 4.6844 4.6844 4.6844
angles: 60.00 60.00 60.00
With the nearest neighbours (Å) after each atom.
Fractional coordinates of all 4 atoms:
1 Zr 0.0000 0.0000 0.0000  4 Co 2.87, 4 Pd 2.87
2 Co 0.7500 0.7500 0.7500  4 Bi 2.87, 4 Zr 2.87
3 Bi 0.5000 0.5000 0.5000  4 Co 2.87, 4 Pd 2.87
4 Pd 0.2500 0.2500 0.2500  4 Bi 2.87, 4 Zr 2.87

Calculated values
final energy: -25.6 eV for the cell shown
density: 10.64 g/cm3
E above lowest polymorph: 0 meV/atom
calculated volume: 72.7 Å³/f.u.